Entry 1:
First-principles (PBE) data for a relaxed structure of Al2AgAu, as listed in the Alexandria database.

Calculated values
Its density of states at the Fermi level is 1.3 states/eV/cell. Its formation energy is -58 meV/atom.

a b c (Å): 3.1224 3.1224 8.9943
angles (deg): 90.00 90.00 125.37
Closest atoms and distances in Å follow each position.
Element x y z (fractional)
Au  0.5000  0.5000  0.2500  4 Al 2.65, 2 Au 2.87
Al  0.0000  0.0000  0.0027  2 Au 2.65, 2 Ag 2.69, 2 Al 2.87
Ag  0.5000  0.5000  0.7500  4 Al 2.69, 2 Ag 2.87
Al  0.0000  0.0000  0.4973  2 Au 2.65, 2 Ag 2.69, 2 Al 2.87

Entry 2:
First-principles (PBE) data for a relaxed structure of Ta2ZnNiRh, as listed in the Alexandria database.

Calculated values
Its density of states at the Fermi level is 5.8 states/eV/cell. Its formation energy is 1169 meV/atom.

a b c (Å): 4.6447 4.1671 4.6447
angles (deg): 90.00 90.00 90.00
Closest atoms and distances in Å follow each position.
Element x y z (fractional)
Ta  0.0000  0.0000  0.5000  2 Zn 2.32
Ta  0.5000  0.0000  0.0000  2 Zn 2.32
Rh  0.5000  0.5000  0.5000  8 Ta 3.12, 4 Ni 3.28
Zn  0.0000  0.0000  0.0000  2 Ni 2.08, 4 Ta 2.32
Ni  0.0000  0.5000  0.0000  2 Zn 2.08

Entry 3:
First-principles (PBE) data for a relaxed structure of Rb3SrZn, as listed in the Alexandria database.

Calculated values
Its density of states at the Fermi level is 4.9 states/eV/cell. Its formation energy is 554 meV/atom. The value obtained for the energy above the most stable polymorph in this dataset is 323 meV/atom.

a b c (Å): 8.5138 8.5138 8.5138
angles (deg): 90.00 90.00 90.00
Closest atoms and distances in Å follow each position.
Element x y z (fractional)
Zn  0.5000  0.5000  0.5000  none within 6
Rb  0.5000  0.0000  0.0000  2 Sr 4.26
Rb  0.0000  0.0000  0.5000  2 Sr 4.26
Rb  0.0000  0.5000  0.0000  2 Sr 4.26
Sr  0.0000  0.0000  0.0000  6 Rb 4.26

Entry 4:
First-principles (PBE) data for a relaxed structure of Cs2Si2SnS6, as listed in the Alexandria database.

Calculated values
The formation energy (no corrections) is -0.751 eV per atom.

a b c (Å): 7.2352 7.2352 9.0320
angles (deg): 66.39 66.39 60.00
Closest atoms and distances in Å follow each position.
Element x y z (fractional)
Cs  0.7821  0.7821  0.6536  9 S 3.70-3.89
S  0.7477  0.2575  0.2471  1 Si 2.05
Sn  0.0000  0.0000  0.0000  6 S 2.91
Cs  0.2179  0.2179  0.3464  9 S 3.70-3.89
S  0.2575  0.7477  0.2471  1 Si 2.05
S  0.7425  0.2523  0.7529  1 Si 2.05
S  0.2523  0.7425  0.7529  1 Si 2.05
S  0.7477  0.7477  0.2471  1 Si 2.05
Si  0.4115  0.4115  0.7655  3 S 2.05
Si  0.5885  0.5885  0.2345  3 S 2.05
S  0.2523  0.2523  0.7529  1 Si 2.05

Number 1: total magnetization 0.00 μB/atom. Number 2: total magnetization 0.08 μB/atom. Number 3: total magnetization 0.00 μB/atom. Number 4: total magnetization 0.00 μB/atom.